Here is a geometry-optimized BaTiVO6 structure from the Alexandria database. Energies are from PBE with a Hubbard U.

SG: P1
DFT total energy, eV/atom: -7.586
M_tot, μB per cell: 1.04

abc: 5.3295 5.3135 5.5443
angles: 89.61 90.68 59.01
Atoms (fractional coordinates):
O1 0.4034 0.5933 0.3292
O2 0.5923 0.3922 0.6686
O3 0.3980 0.0102 0.7033
O4 0.0168 0.3976 0.2987
O5 0.0060 0.5944 0.7012
O6 0.5917 0.0067 0.2951
Ba1 0.9974 0.0011 0.0057
Ti1 0.6825 0.6817 0.4739
V1 0.3118 0.3228 0.5242